# ThCd2Ag2 (GGA-PBE, optimized geometry)
# ΔH_f (0 K)	-0.097	eV/atom
# size of the total moment	0.0	μB/f.u.
# energy above the lowest structure with this stoichiometry	13	meV/atom
# DOS(E_F)	5.79	states/eV per cell
data_ThCd2Ag2
_chemical_formula_sum 'Th2 Cd4 Ag4'
_cell_length_a 4.9484
_cell_length_b 3.3658
_cell_length_c 13.6619
_cell_angle_alpha 90.00
_cell_angle_beta 90.02
_cell_angle_gamma 90.00
_symmetry_space_group_name_H-M 'P 1 21/m 1'
_symmetry_Int_Tables_number 11
_symmetry_space_group_name_Hall '-P 2yb'
loop_
_atom_site_label
_atom_site_type_symbol
_atom_site_fract_x
_atom_site_fract_y
_atom_site_fract_z
Th1 Th 0.2482 0.2500 0.2507
Cd1 Cd 0.2495 0.7500 0.4707
Cd2 Cd 0.2518 0.2500 0.8608
Ag1 Ag 0.2486 0.7500 0.0341
Ag2 Ag 0.2515 0.2500 0.6482